Here is an optimized crystal structure of AsIr3Pb from Alexandria. Energies are from PBE.

The value obtained for the formation energy from the elements is 11.38 eV/f.u. The total magnetization is 0.26 μB per atom. The value obtained for the electronic total energy is -4.7114 eV per atom. For the energy above the lowest structure with this stoichiometry, the calculation gives 1423 meV per atom.

The structure in CIF format:
```
data_AsIr3Pb
_space_group_name_H-M_alt 'P m -3 m'
_space_group_IT_number 221
_space_group_name_Hall '-P 4 2 3'
_cell_length_a 4.974
_cell_length_b 4.974
_cell_length_c 4.974
_cell_angle_alpha 90.00
_cell_angle_beta 90.00
_cell_angle_gamma 90.00
loop_
_atom_site_label
_atom_site_fract_x
_atom_site_fract_y
_atom_site_fract_z
_atom_site_occupancy
As1 0.000 0.000 0.000 1
Ir1 0.000 0.500 0.500 1
Pb1 0.500 0.500 0.500 1
```

Here is an optimized crystal structure of Mg2Be2Ru from Alexandria. Energies are from PBE.

The value obtained for the formation energy from the elements is 2.32 eV/f.u. The total magnetization is 0.14 μB per atom. The value obtained for the electronic total energy is -3.5187 eV per atom. For the energy above the lowest structure with this stoichiometry, the calculation gives 323 meV per atom.

The structure in CIF format:
```
data_Mg2Be2Ru
_space_group_name_H-M_alt 'P 4/m b m'
_space_group_IT_number 127
_space_group_name_Hall '-P 4 2ab'
_cell_length_a 6.951
_cell_length_b 6.951
_cell_length_c 2.847
_cell_angle_alpha 90.00
_cell_angle_beta 90.00
_cell_angle_gamma 90.00
loop_
_atom_site_label
_atom_site_fract_x
_atom_site_fract_y
_atom_site_fract_z
_atom_site_occupancy
Mg1 0.142 0.358 0.000 1
Be1 0.158 0.658 0.500 1
Ru1 0.000 0.000 0.000 1
```

Here is an optimized crystal structure of Sr3HfIn from Alexandria. Energies are from PBE.

The value obtained for the formation energy from the elements is 3.83 eV/f.u. The total magnetization is 0.59 μB per atom. The value obtained for the electronic total energy is -2.7808 eV per atom. For the energy above the lowest structure with this stoichiometry, the calculation gives 0 meV per atom.

The structure in CIF format:
```
data_Sr3HfIn
_space_group_name_H-M_alt 'P m -3 m'
_space_group_IT_number 221
_space_group_name_Hall '-P 4 2 3'
_cell_length_a 6.232
_cell_length_b 6.232
_cell_length_c 6.232
_cell_angle_alpha 90.00
_cell_angle_beta 90.00
_cell_angle_gamma 90.00
loop_
_atom_site_label
_atom_site_fract_x
_atom_site_fract_y
_atom_site_fract_z
_atom_site_occupancy
Sr1 0.000 0.000 0.500 1
Hf1 0.500 0.500 0.500 1
In1 0.000 0.000 0.000 1
```

Here is an optimized crystal structure of SrAlRe2N from Alexandria. Energies are from PBE.

The total magnetization is 0.00 μB per atom. The value obtained for the electronic total energy is -7.3102 eV per atom. The uncorrected formation energy comes out at 0.4190 eV per atom.

The structure in CIF format:
```
data_SrAlRe2N
_space_group_name_H-M_alt 'P 4/m m m'
_space_group_IT_number 123
_space_group_name_Hall '-P 4 2'
_cell_length_a 4.111
_cell_length_b 4.111
_cell_length_c 4.886
_cell_angle_alpha 90.00
_cell_angle_beta 90.00
_cell_angle_gamma 90.00
loop_
_atom_site_label
_atom_site_fract_x
_atom_site_fract_y
_atom_site_fract_z
_atom_site_occupancy
Sr1 0.000 0.000 0.000 1
Al1 0.500 0.500 0.000 1
Re1 0.000 0.500 0.500 1
N1 0.000 0.000 0.500 1
```

Number 1: density of states at the Fermi level 7.0 states/eV per cell. Number 2: density of states at the Fermi level 3.0 states/eV per cell. Number 3: density of states at the Fermi level 1.7 states/eV per cell. Number 4: density of states at the Fermi level 4.0 states/eV per cell.